(1)
# HfTi2BeCu

A geometry-optimized HfTi2BeCu structure (PBE-GGA, Alexandria via LeMat-Bulk).

Summary:
energy relative to the elements: 1.5585 eV/atom

abc: 4.7542 4.7893 4.7542
angles: 90.00 90.00 90.00
Fractional coordinates of all 5 atoms:
Cu 0.0000 0.5000 0.0000
Ti 0.0000 0.0000 0.5000
Be 0.5000 0.5000 0.5000
Hf 0.0000 0.0000 0.0000
Ti 0.5000 0.0000 0.0000


(2)
# HfTiBeCu2

A geometry-optimized HfTiBeCu2 structure (PBE-GGA, Alexandria via LeMat-Bulk).

Summary:
energy relative to the elements: 0.2433 eV/atom

abc: 4.0672 4.4496 4.0672
angles: 90.00 90.00 90.00
Each line ends with the local moment (μB).
Fractional coordinates of all 5 atoms:
Ti 0.0000 0.5000 0.0000  0.54
Be 0.0000 0.0000 0.0000  0.04
Cu 0.0000 0.0000 0.5000  0.01
Hf 0.5000 0.5000 0.5000  0.18
Cu 0.5000 0.0000 0.0000  0.02